CaThPdPb after structural relaxation, computed with GGA-PBE.

## Properties
The calculation puts the formation enthalpy at 0 K at -461 meV/atom. The total magnetization comes out at 0.00 Bohr magnetons per cell. For the calculated total energy, the calculation gives -20.165 eV per formula unit. The volume is 26.8 Å³ per atom.

Structure (CIF):
```
data_CaThPdPb
_space_group_name_H-M_alt 'F -4 3 m'
_space_group_IT_number 216
_space_group_name_Hall 'F -4 2 3'
_cell_length_a 7.537
_cell_length_b 7.537
_cell_length_c 7.537
_cell_angle_alpha 90.00
_cell_angle_beta 90.00
_cell_angle_gamma 90.00
loop_
_atom_site_label
_atom_site_fract_x
_atom_site_fract_y
_atom_site_fract_z
_atom_site_occupancy
Ca1 0.000 0.000 0.000 1
Th1 0.000 0.000 0.500 1
Pd1 0.250 0.250 0.750 1
Pb1 0.250 0.250 0.250 1
```

CaTlPdPb after structural relaxation, computed with GGA-PBE.

## Properties
The calculation puts the formation enthalpy at 0 K at -308 meV/atom. The total magnetization comes out at 0.00 Bohr magnetons per cell. For the calculated total energy, the calculation gives -14.500 eV per formula unit. The volume is 23.7 Å³ per atom.

Structure (CIF):
```
data_CaTlPdPb
_space_group_name_H-M_alt 'F -4 3 m'
_space_group_IT_number 216
_space_group_name_Hall 'F -4 2 3'
_cell_length_a 7.236
_cell_length_b 7.236
_cell_length_c 7.236
_cell_angle_alpha 90.00
_cell_angle_beta 90.00
_cell_angle_gamma 90.00
loop_
_atom_site_label
_atom_site_fract_x
_atom_site_fract_y
_atom_site_fract_z
_atom_site_occupancy
Ca1 0.000 0.000 0.000 1
Tl1 0.250 0.250 0.250 1
Pd1 0.000 0.000 0.500 1
Pb1 0.250 0.250 0.750 1
```

Ca2Zn2Pd5Pb after structural relaxation, computed with GGA-PBE.

## Properties
The calculation puts the formation enthalpy at 0 K at -615 meV/atom. The total magnetization comes out at 0.00 Bohr magnetons per cell. For the calculated total energy, the calculation gives -42.376 eV per formula unit. The volume is 18.7 Å³ per atom.

Structure (CIF):
```
data_Ca2Zn2Pd5Pb
_space_group_name_H-M_alt 'P 4/m b m'
_space_group_IT_number 127
_space_group_name_Hall '-P 4 2ab'
_cell_length_a 9.943
_cell_length_b 9.943
_cell_length_c 3.792
_cell_angle_alpha 90.00
_cell_angle_beta 90.00
_cell_angle_gamma 90.00
loop_
_atom_site_label
_atom_site_fract_x
_atom_site_fract_y
_atom_site_fract_z
_atom_site_occupancy
Ca1 0.176 0.324 0.000 1
Zn1 0.120 0.620 0.000 1
Pd1 0.000 0.500 0.500 1
Pd2 0.069 0.789 0.500 1
Pb1 0.000 0.000 0.000 1
```

CaZnPdPb after structural relaxation, computed with GGA-PBE.

## Properties
The calculation puts the formation enthalpy at 0 K at -366 meV/atom. The total magnetization comes out at 0.00 Bohr magnetons per cell. For the calculated total energy, the calculation gives -13.642 eV per formula unit. The volume is 21.7 Å³ per atom.

Structure (CIF):
```
data_CaZnPdPb
_space_group_name_H-M_alt 'F -4 3 m'
_space_group_IT_number 216
_space_group_name_Hall 'F -4 2 3'
_cell_length_a 7.028
_cell_length_b 7.028
_cell_length_c 7.028
_cell_angle_alpha 90.00
_cell_angle_beta 90.00
_cell_angle_gamma 90.00
loop_
_atom_site_label
_atom_site_fract_x
_atom_site_fract_y
_atom_site_fract_z
_atom_site_occupancy
Ca1 0.000 0.000 0.000 1
Zn1 0.250 0.250 0.250 1
Pd1 0.250 0.250 0.750 1
Pb1 0.000 0.000 0.500 1
```

CaPm8Pb6 after structural relaxation, computed with GGA-PBE.

## Properties
The calculation puts the formation enthalpy at 0 K at -416 meV/atom. The total magnetization comes out at 0.01 Bohr magnetons per cell. For the calculated total energy, the calculation gives -68.498 eV per formula unit. The volume is 34.2 Å³ per atom.

Structure (CIF):
```
data_CaPm8Pb6
_space_group_name_H-M_alt 'R -3'
_space_group_IT_number 148
_space_group_name_Hall '-R 3'
_cell_length_a 9.4768
_cell_length_b 9.4768
_cell_length_c 19.8030
_cell_angle_alpha 90.00
_cell_angle_beta 90.00
_cell_angle_gamma 120.00
loop_
_atom_site_label
_atom_site_fract_x
_atom_site_fract_y
_atom_site_fract_z
_atom_site_occupancy
Ca1 0.0000 0.0000 0.0000 1
Pm1 0.0000 0.0000 0.3333 1
Pm2 0.9996 0.3299 0.9008 1
Pb1 0.9996 0.3355 0.0715 1
```

Ca2PmPb after structural relaxation, computed with GGA-PBE.

## Properties
The calculation puts the formation enthalpy at 0 K at -71 meV/atom. The total magnetization comes out at 0.00 Bohr magnetons per cell. As for the energy above the most stable polymorph in this dataset: 237 meV/atom. For the calculated total energy, the calculation gives -12.747 eV per formula unit. The volume is 33.0 Å³ per atom.

Structure (CIF):
```
data_Ca2PmPb
_space_group_name_H-M_alt 'F m -3 m'
_space_group_IT_number 225
_space_group_name_Hall '-F 4 2 3'
_cell_length_a 8.083
_cell_length_b 8.083
_cell_length_c 8.083
_cell_angle_alpha 90.00
_cell_angle_beta 90.00
_cell_angle_gamma 90.00
loop_
_atom_site_label
_atom_site_fract_x
_atom_site_fract_y
_atom_site_fract_z
_atom_site_occupancy
Ca1 0.250 0.250 0.250 1
Pm1 0.000 0.000 0.000 1
Pb1 0.000 0.000 0.500 1
```

CaPmPb6 after structural relaxation, computed with GGA-PBE.

## Properties
The calculation puts the formation enthalpy at 0 K at -343 meV/atom. The total magnetization comes out at 0.00 Bohr magnetons per cell. For the calculated total energy, the calculation gives -31.750 eV per formula unit. The volume is 29.9 Å³ per atom.

Structure (CIF):
```
data_CaPmPb6
_space_group_name_H-M_alt 'P 4/m m m'
_space_group_IT_number 123
_space_group_name_Hall '-P 4 2'
_cell_length_a 4.888
_cell_length_b 4.888
_cell_length_c 10.009
_cell_angle_alpha 90.00
_cell_angle_beta 90.00
_cell_angle_gamma 90.00
loop_
_atom_site_label
_atom_site_fract_x
_atom_site_fract_y
_atom_site_fract_z
_atom_site_occupancy
Ca1 0.000 0.000 0.000 1
Pm1 0.000 0.000 0.500 1
Pb1 0.000 0.500 0.249 1
Pb2 0.500 0.500 0.000 1
Pb3 0.500 0.500 0.500 1
```

CaPm2Pb2 after structural relaxation, computed with GGA-PBE.

## Properties
The calculation puts the formation enthalpy at 0 K at -532 meV/atom. The total magnetization comes out at 0.00 Bohr magnetons per cell. As for the energy above the most stable polymorph in this dataset: 0 meV/atom. For the calculated total energy, the calculation gives -21.581 eV per formula unit. The volume is 31.7 Å³ per atom.

Structure (CIF):
```
data_CaPm2Pb2
_space_group_name_H-M_alt 'P 4/m b m'
_space_group_IT_number 127
_space_group_name_Hall '-P 4 2ab'
_cell_length_a 8.283
_cell_length_b 8.283
_cell_length_c 4.625
_cell_angle_alpha 90.00
_cell_angle_beta 90.00
_cell_angle_gamma 90.00
loop_
_atom_site_label
_atom_site_fract_x
_atom_site_fract_y
_atom_site_fract_z
_atom_site_occupancy
Ca1 0.000 0.000 0.000 1
Pm1 0.173 0.327 0.500 1
Pb1 0.130 0.630 0.000 1
```